1.
Density functional theory data (PBE) for crystalline AsRuW at its relaxed geometry.

a = 4.2678 Å, b = 4.2678 Å, c = 2.8476 Å
α = 90.00°, β = 90.00°, γ = 120.00°
Fractional positions:
W: 0.3333 0.6667 0.6664
As: 0.0000 0.0000 0.1676
Ru: 0.6667 0.3333 0.1660

Properties
SG ... P-6m2 (187)
DFT formation energy ... 0.102 eV per atom


2.
Density functional theory data (PBE) for crystalline As2RuW at its relaxed geometry.

a = 4.3800 Å, b = 4.3800 Å, c = 3.1079 Å
α = 90.00°, β = 90.00°, γ = 90.00°
Fractional positions:
As: 0.5000 0.5000 0.0000
As: 0.0000 0.0000 0.0000
Ru: 0.5000 0.0000 0.5000
W: 0.0000 0.5000 0.5000

Properties
SG ... P4/mmm (123)
DFT formation energy ... 0.085 eV per atom


3.
Density functional theory data (PBE) for crystalline AsRuW at its relaxed geometry.

a = 3.0425 Å, b = 3.0425 Å, c = 11.5543 Å
α = 90.00°, β = 90.00°, γ = 120.00°
Fractional positions:
Ru: 0.6110 0.2221 0.3174
As: 0.2778 0.5556 0.8364
W: 0.6113 0.2226 0.0000
As: 0.2778 0.5556 0.1636
Ru: 0.6110 0.2221 0.6826
W: 0.2776 0.5552 0.5000

Properties
SG ... P-6m2 (187)
DFT formation energy ... 0.170 eV per atom


no.,spin magnetization (μB/atom)
1,0.00
2,0.00
3,0.00